# 1
DFT (PBE-GGA) results for a relaxed structure of Ag4C5.

Summary:
* energy relative to the lowest polymorph listed for this composition: 0.0 meV per atom
* formation energy from the elements: 1.360 eV/atom

Lattice parameters (Å, degrees): 7.5559 7.5559 7.5559 91.72 91.72 160.07
Sites, in units of the cell vectors:
1 C 0.7679 0.2321 0.0000
2 C 0.2321 0.2321 0.4642
3 C 0.7679 0.7679 0.5358
4 C 0.0000 0.0000 0.0000
5 C 0.2321 0.7679 0.0000
6 Ag 0.0000 0.2077 0.2077
7 Ag 0.2077 0.0000 0.2077
8 Ag 0.7923 0.0000 0.7923
9 Ag 0.0000 0.7923 0.7923

---

# 2
DFT (PBE-GGA) results for a relaxed structure of AgC.

Summary:
* energy relative to the lowest polymorph listed for this composition: 17.9 meV per atom
* formation energy from the elements: 0.423 eV/atom

Lattice parameters (Å, degrees): 2.6073 2.6073 23.8258 90.00 90.00 120.00
Sites, in units of the cell vectors:
1 Ag 0.6667 0.3333 0.9316
2 Ag 0.6667 0.3333 0.5684
3 Ag 0.3333 0.6667 0.0683
4 Ag 0.3333 0.6667 0.4316
5 C 0.6667 0.3333 0.2500
6 C 0.0000 0.0000 0.2500
7 C 0.0000 0.0000 0.7500
8 C 0.3333 0.6667 0.7500

---

# 3
DFT (PBE-GGA) results for a relaxed structure of Ag7C.

Summary:
* formation energy from the elements: 0.720 eV/atom

Lattice parameters (Å, degrees): 5.7748 5.7748 5.7748 60.00 60.00 60.00
Each line ends with the local moment (μB).
Sites, in units of the cell vectors:
1 Ag 0.5000 0.5000 0.0000  0.01
2 Ag 0.5000 0.0000 0.0000  0.01
3 Ag 0.0000 0.5000 0.0000  0.01
4 Ag 0.0000 0.0000 0.5000  0.01
5 Ag 0.5000 0.0000 0.5000  0.01
6 Ag 0.0000 0.5000 0.5000  0.01
7 Ag 0.5000 0.5000 0.5000  0.01
8 C 0.0000 0.0000 0.0000  0.07

---

# 4
DFT (PBE-GGA) results for a relaxed structure of AgC.

Summary:
* energy relative to the lowest polymorph listed for this composition: 1875.8 meV per atom
* formation energy from the elements: 2.280 eV/atom

Lattice parameters (Å, degrees): 5.5008 5.5008 3.1706 90.00 90.00 146.33
Sites, in units of the cell vectors:
1 C 0.8454 0.1546 0.7500
2 C 0.1546 0.8454 0.2500
3 Ag 0.3760 0.6240 0.2500
4 Ag 0.6240 0.3760 0.7500

---

# 5
DFT (PBE-GGA) results for a relaxed structure of AgC6.

Summary:
* formation energy from the elements: 1.364 eV/atom

Lattice parameters (Å, degrees): 7.9348 7.9348 5.2726 90.00 90.00 142.24
Each line ends with the local moment (μB).
Sites, in units of the cell vectors:
1 Ag 0.0000 0.0000 0.0000  0.18
2 C 0.0000 0.0000 0.3793  0.18
3 C 0.3715 0.8718 0.0000  0.01
4 C 0.1282 0.6285 0.0000  0.01
5 C 0.0000 0.0000 0.6207  0.18
6 C 0.8718 0.3715 0.0000  0.01
7 C 0.6285 0.1282 0.0000  0.01

---

# 6
DFT (PBE-GGA) results for a relaxed structure of Ag5C3.

Summary:
* energy relative to the lowest polymorph listed for this composition: 137.6 meV per atom
* formation energy from the elements: 1.755 eV/atom

Lattice parameters (Å, degrees): 2.9157 2.9157 12.9383 90.00 90.00 90.00
Sites, in units of the cell vectors:
1 Ag 0.5000 0.5000 0.6096
2 Ag 0.0000 0.0000 0.2216
3 Ag 0.0000 0.0000 0.0000
4 Ag 0.5000 0.5000 0.3904
5 Ag 0.0000 0.0000 0.7784
6 C 0.5000 0.5000 0.8798
7 C 0.5000 0.5000 0.1202
8 C 0.0000 0.0000 0.5000

---

# 7
DFT (PBE-GGA) results for a relaxed structure of Ag7C5.

Summary:
* formation energy from the elements: 1.232 eV/atom

Lattice parameters (Å, degrees): 6.9657 6.9657 6.9657 125.91 125.91 80.03
Sites, in units of the cell vectors:
1 Ag 0.3223 0.6157 0.7066
2 Ag 0.4088 0.4088 0.0000
3 Ag 0.8600 0.3600 0.5000
4 Ag 0.3600 0.8600 0.5000
5 Ag 0.9091 0.6157 0.2934
6 Ag 0.6157 0.9091 0.2934
7 Ag 0.6157 0.3223 0.7066
8 C 0.9803 0.9803 0.7623
9 C 0.2117 0.2117 0.0000
10 C 0.2180 0.9803 0.0000
11 C 0.2180 0.2180 0.2377
12 C 0.9803 0.2180 0.0000

---

# 8
DFT (PBE-GGA) results for a relaxed structure of AgC.

Summary:
* energy relative to the lowest polymorph listed for this composition: 1925.1 meV per atom
* formation energy from the elements: 2.330 eV/atom

Lattice parameters (Å, degrees): 3.1310 3.1310 2.7918 90.00 90.00 90.00
Sites, in units of the cell vectors:
1 Ag 0.0000 0.0000 0.0000
2 C 0.5000 0.5000 0.0000